Entry 1:
# PBE+U Pt3WF, optimized geometry
data_Pt3WF
_space_group_name_H-M_alt 'P m -3 m'
_space_group_IT_number 221
_space_group_name_Hall '-P 4 2 3'
_cell_length_a 4.889
_cell_length_b 4.889
_cell_length_c 4.889
_cell_angle_alpha 90.00
_cell_angle_beta 90.00
_cell_angle_gamma 90.00
loop_
_atom_site_label
_atom_site_type_symbol
_atom_site_fract_x
_atom_site_fract_y
_atom_site_fract_z
_atom_site_occupancy
Pt1 Pt 0.000 0.000 0.500 1
W1 W 0.000 0.000 0.000 1
F1 F 0.500 0.500 0.500 1
# - total DFT energy (no corrections) (eV per cell) = -20.78
# - total moment (μB per formula unit) = 0.688
# - theoretical density (Mg/m³) = 11.20
# - V (Å³ per atom) = 23.368



Entry 2:
# PBE+U PtWF2, optimized geometry
data_PtWF2
_space_group_name_H-M_alt 'R -3 m'
_space_group_IT_number 166
_space_group_name_Hall '-R 3 2"'
_cell_length_a 2.8645
_cell_length_b 2.8645
_cell_length_c 33.2353
_cell_angle_alpha 90.00
_cell_angle_beta 90.00
_cell_angle_gamma 120.00
loop_
_atom_site_label
_atom_site_type_symbol
_atom_site_fract_x
_atom_site_fract_y
_atom_site_fract_z
_atom_site_occupancy
Pt1 Pt 0.0000 0.0000 0.0000 1
W1 W 0.0000 0.0000 0.5000 1
F1 F 0.0000 0.0000 0.4437 1
# - total DFT energy (no corrections) (eV per cell) = -59.04
# - total moment (μB per formula unit) = 1.112
# - theoretical density (Mg/m³) = 8.79
# - V (Å³ per atom) = 19.682